Density functional theory data (PBE-GGA) for a geometry-optimized Sr2Li3ErSb4 structure.

Computed properties:
- Space-group type: P-4m2
- Crystal system: tetragonal

POSCAR file:
```
Sr2Li3ErSb4
1.0
4.812 0.000 0.000
0.000 4.812 0.000
0.000 0.000 11.804
Sr Li Er Sb
2 3 1 4
Direct
0.500 0.000 0.219 Sr
0.000 0.500 0.781 Sr
0.000 0.000 0.500 Li
0.500 0.000 0.880 Li
0.000 0.500 0.120 Li
0.500 0.500 0.500 Er
0.500 0.500 0.000 Sb
0.000 0.000 0.000 Sb
0.500 0.000 0.650 Sb
0.000 0.500 0.350 Sb
```

---

Density functional theory data (PBE-GGA) for a geometry-optimized Li2TbEr2Sb2 structure.

Computed properties:
- Space-group type: R-3m
- Crystal system: trigonal

POSCAR file:
```
Li2TbEr2Sb2
1.0
-3.319 -2.860 -1.791
1.258 -3.750 -2.599
-0.366 -7.087 5.740
Li Tb Er Sb
2 1 2 2
Direct
0.592 0.592 0.223 Li
0.408 0.408 0.777 Li
0.000 0.000 0.000 Tb
0.131 0.131 0.608 Er
0.869 0.869 0.392 Er
0.736 0.736 0.792 Sb
0.264 0.264 0.208 Sb
```

---

Density functional theory data (PBE-GGA) for a geometry-optimized Li2ErSbTe4 structure.

Computed properties:
- Space-group type: P2/m
- Crystal system: monoclinic

POSCAR file:
```
Li2ErSbTe4
1.0
-2.525 -3.343 1.104
4.194 -1.132 6.165
-5.553 4.717 1.580
Li Er Sb Te
2 1 1 4
Direct
0.500 0.000 0.500 Li
0.000 0.500 0.500 Li
0.500 0.500 0.000 Er
0.000 0.000 0.000 Sb
0.500 0.253 0.256 Te
0.500 0.747 0.744 Te
0.000 0.249 0.747 Te
0.000 0.751 0.253 Te
```

---

Number 1: formation energy without anion corrections -0.789 eV per atom. Number 2: formation energy without anion corrections -0.527 eV per atom. Number 3: formation energy without anion corrections -0.854 eV per atom.